A plane-wave DFT calculation with PBEsol was carried out for BeNbCl2 after structural relaxation.

Lattice parameters (Å, degrees): 3.048 3.048 7.850 78.80 78.80 60.00
Atoms (fractional coordinates):
Cl (0.890, 0.890, 0.331)
Cl (0.110, 0.110, 0.669)
Be (0.500, 0.500, 0.500)
Nb (0.000, 0.000, 0.000)

## Properties
- space-group type = R-3m (166)

***

A plane-wave DFT calculation with PBEsol was carried out for BeNbCl3 after structural relaxation.

Lattice parameters (Å, degrees): 4.440 4.440 4.440 90.00 90.00 90.00
Atoms (fractional coordinates):
Cl (0.000, 0.500, 0.000)
Cl (0.000, 0.000, 0.500)
Cl (0.500, 0.000, 0.000)
Be (0.000, 0.000, 0.000)
Nb (0.500, 0.500, 0.500)

## Properties
- space-group type = Pm-3m (221)

***

A plane-wave DFT calculation with PBEsol was carried out for BeNiCl4 after structural relaxation.

Lattice parameters (Å, degrees): 5.542 5.542 5.542 60.00 60.00 60.00
Atoms (fractional coordinates):
Cl (0.876, 0.375, 0.375)
Cl (0.375, 0.375, 0.876)
Cl (0.375, 0.876, 0.375)
Cl (0.375, 0.375, 0.375)
Be (0.000, 0.000, 0.000)
Ni (0.750, 0.750, 0.750)

## Properties
- space-group type = F-43m (216)

***

A plane-wave DFT calculation with PBEsol was carried out for BeNiCl3 after structural relaxation.

Lattice parameters (Å, degrees): 4.500 4.500 4.500 90.00 90.00 90.00
Atoms (fractional coordinates):
Ni (0.000, 0.000, 0.000)
Cl (0.000, 0.500, 0.000)
Cl (0.000, 0.000, 0.500)
Cl (0.500, 0.000, 0.000)
Be (0.500, 0.500, 0.500)

## Properties
- space-group type = Pm-3m (221)

***

Size of the total moment: 0.00 3.84 0.01 0.00 (μB per formula unit)
Uncorrected energy: -4.95 -4.16 -1.78 -3.14 (eV per atom)
DOS(E_F): 2.3 3.4 9.7 2.5 (states/eV/f.u.)